A plane-wave DFT calculation with GGA-PBE was carried out for Ho6Os2Ru after structural relaxation.

a = 6.585 Å, b = 7.293 Å, c = 11.180 Å
α = 90.00°, β = 123.53°, γ = 90.00°
Sites, in units of the cell vectors:
Ho (0.075, 0.033, 0.239)
Ho (0.075, 0.467, 0.739)
Ho (0.218, 0.665, 0.068)
Ho (0.218, 0.835, 0.568)
Ho (0.400, 0.171, 0.074)
Ho (0.400, 0.329, 0.574)
Ho (0.600, 0.671, 0.426)
Ho (0.600, 0.829, 0.926)
Ho (0.782, 0.165, 0.432)
Ho (0.782, 0.335, 0.932)
Ho (0.925, 0.533, 0.261)
Ho (0.925, 0.967, 0.761)
Os (0.315, 0.141, 0.778)
Os (0.315, 0.359, 0.278)
Os (0.685, 0.641, 0.722)
Os (0.685, 0.859, 0.222)
Ru (0.500, 0.000, 0.500)
Ru (0.500, 0.500, 0.000)

Calculated values
space-group type = P2_1/c
E_tot = -6.803 eV per atom